(1)
Entry from Alexandria via LeMat-Bulk: crystalline TeW2Au at its relaxed geometry (GGA-PBE).

Lattice parameters (Å, degrees): 3.302 4.845 9.839 90.00 90.00 90.00
Space group Cmm2 (No. 35)
Unique sites:
Te: 0.000 0.000 0.000 [2 per cell]
W: 0.000 0.000 0.544 [2 per cell]
W: 0.000 0.500 0.745 [2 per cell]
Au: 0.000 0.500 0.309 [2 per cell]

Results
The density of states at the Fermi level comes out at 2.40 states/eV/f.u. As for the crystal system: orthorhombic. As for the formation energy from raw total energies: 0.53 eV per atom.

(2)
Entry from Alexandria via LeMat-Bulk: crystalline TeW2Au at its relaxed geometry (GGA-PBE).

Lattice parameters (Å, degrees): 4.146 4.146 8.352 90.00 90.00 90.00
Space group I-4m2 (No. 119)
Unique sites:
Te: 0.000 0.000 0.000 [2 per cell]
W: 0.000 0.000 0.500 [2 per cell]
W: 0.000 0.500 0.750 [2 per cell]
Au: 0.000 0.500 0.250 [2 per cell]

Results
The density of states at the Fermi level comes out at 3.31 states/eV/f.u. As for the crystal system: tetragonal. As for the formation energy from raw total energies: 0.85 eV per atom.

(3)
Entry from Alexandria via LeMat-Bulk: crystalline TeW2Au at its relaxed geometry (GGA-PBE).

Lattice parameters (Å, degrees): 3.959 3.959 20.158 90.00 90.00 90.00
Space group I-42d (No. 122)
Unique sites:
Te: 0.000 0.000 0.000 [4 per cell]
W: 0.212 0.250 0.625 [8 per cell]
Au: 0.000 0.000 0.500 [4 per cell]

Results
The density of states at the Fermi level comes out at 2.93 states/eV/f.u. As for the crystal system: tetragonal. As for the formation energy from raw total energies: 0.87 eV per atom.

(4)
Entry from Alexandria via LeMat-Bulk: crystalline TeW2Au at its relaxed geometry (GGA-PBE).

Lattice parameters (Å, degrees): 3.268 4.228 6.434 90.00 104.68 90.00
Space group Pm (No. 6)
Unique sites:
Te: 0.000 0.000 0.000 [1 per cell]
W: 0.161 0.500 0.323 [1 per cell]
W: 0.676 0.000 0.352 [1 per cell]
Au: 0.838 0.500 0.680 [1 per cell]

Results
The density of states at the Fermi level comes out at 2.57 states/eV/f.u. As for the crystal system: monoclinic. As for the formation energy from raw total energies: 0.61 eV per atom.

no.,volume (Å³/atom)
1,19.68
2,17.95
3,19.75
4,21.50